w) DFT (PBE-GGA) results for a relaxed Rb3InCl4 crystal.

Cell lengths 6.6385, 9.5714, 11.2971 Å; angles 90.00, 90.00, 90.00 degrees
Closest atoms and distances in Å follow each position.
Fractional coordinates of all 16 atoms:
1 Cl 0.0535 0.3290 0.7504  1 In 3.18, 4 Rb 3.27-3.32
2 Rb 0.5541 0.3294 0.7486  5 Cl 3.24-3.32
3 Cl 0.6322 0.1761 0.0000  1 In 2.84
4 Cl 0.5535 0.6710 0.2504  1 In 3.18, 4 Rb 3.27-3.32
5 Cl 0.0535 0.3290 0.2496  1 In 3.18, 4 Rb 3.27-3.32
6 Cl 0.1322 0.8239 0.5000  1 In 2.84
7 Rb 0.5546 0.8424 0.0000  5 Cl 3.24-3.32
8 Rb 0.5541 0.3294 0.2514  5 Cl 3.24-3.32
9 Rb 0.0541 0.6706 0.2486  5 Cl 3.24-3.32
10 Rb 0.0541 0.6706 0.7514  5 Cl 3.24-3.32
11 Cl 0.0540 0.8475 0.0000  1 In 3.13, 4 Rb 3.28-3.32
12 Cl 0.5535 0.6710 0.7496  1 In 3.18, 4 Rb 3.27-3.32
13 Cl 0.5540 0.1525 0.5000  1 In 3.13, 4 Rb 3.28-3.32
14 Rb 0.0546 0.1576 0.5000  5 Cl 3.24-3.32
15 In 0.5593 0.8251 0.5000  2 Cl 2.84-3.13
16 In 0.0593 0.1749 0.0000  2 Cl 2.84-3.13

Results
Fermi-level density of states ... 0.00 states/eV/atom
Total magnetic moment ... 0.0 μB per formula unit

x) DFT (PBE-GGA) results for a relaxed Rb3InCl4 crystal.

Cell lengths 6.6335, 6.6335, 8.1154 Å; angles 114.12, 114.12, 90.00 degrees
Closest atoms and distances in Å follow each position.
Fractional coordinates of all 8 atoms:
1 Cl 0.2440 0.2440 0.4880  1 In 3.23, 5 Rb 3.32-3.39
2 Cl 0.7560 0.7560 0.5120  1 In 3.23, 5 Rb 3.32-3.39
3 In 0.0000 0.0000 0.0000  6 Cl 3.23-3.32
4 Cl 0.5000 0.0000 0.0000  4 Rb 3.31-3.32, 2 In 3.32
5 Rb 0.2500 0.7500 0.5000  6 Cl 3.31-3.32
6 Rb 0.7500 0.2500 0.5000  6 Cl 3.31-3.32
7 Rb 0.5000 0.5000 0.0000  6 Cl 3.32-3.39
8 Cl 0.0000 0.5000 0.0000  4 Rb 3.31-3.32, 2 In 3.32

Results
Fermi-level density of states ... 0.00 states/eV/atom
Total magnetic moment ... 0.0 μB per formula unit

Least stable = w)

w) DFT (PBE-GGA) results for a relaxed RbInS2Cl crystal.

Cell lengths 6.1011, 6.1011, 6.1259 Å; angles 90.00, 90.00, 90.00 degrees
Closest atoms and distances in Å follow each position.
Fractional coordinates of all 5 atoms:
1 Rb 0.0000 0.0000 0.0000  4 S 3.05, 2 Cl 3.06
2 S 0.0000 0.5000 0.0000  2 Rb 3.05
3 S 0.5000 0.0000 0.0000  2 Rb 3.05
4 In 0.5000 0.5000 0.5000  4 Cl 4.31, 8 S 4.32
5 Cl 0.0000 0.0000 0.5000  2 Rb 3.06

Results
Fermi-level density of states ... 1.33 states/eV/atom
Total magnetic moment ... 3.0 μB per formula unit

x) DFT (PBE-GGA) results for a relaxed RbInS2Cl crystal.

Cell lengths 5.1807, 5.1807, 5.6528 Å; angles 90.00, 90.00, 90.00 degrees
Closest atoms and distances in Å follow each position.
Fractional coordinates of all 5 atoms:
1 Cl 0.0000 0.0000 0.5000  2 In 2.83
2 S 0.0000 0.5000 0.0000  2 In 2.59
3 S 0.5000 0.0000 0.0000  2 In 2.59
4 Rb 0.5000 0.5000 0.5000  4 Cl 3.66, 8 S 3.83
5 In 0.0000 0.0000 0.0000  4 S 2.59, 2 Cl 2.83

Results
Fermi-level density of states ... 0.89 states/eV/atom
Total magnetic moment ... 0.6 μB per formula unit

Least stable = w)

w) DFT (PBE-GGA) results for a relaxed InReCl crystal.

Cell lengths 5.5568, 5.5568, 5.5568 Å; angles 150.47, 137.98, 52.19 degrees
Closest atoms and distances in Å follow each position.
Fractional coordinates of all 3 atoms:
1 Re 0.6290 0.6290 0.0000  4 Cl 2.60, 2 Re 2.83
2 Cl 0.0416 0.0416 0.0000  4 Re 2.60, 2 Cl 2.83, 1 In 2.87
3 In 0.3293 0.3293 0.0000  2 In 2.83, 1 Cl 2.87, 5 Re 2.99-3.16

Results
Fermi-level density of states ... 0.72 states/eV/atom
Total magnetic moment ... 0.0 μB per formula unit

x) DFT (PBE-GGA) results for a relaxed InReCl crystal.

Cell lengths 3.0057, 3.0057, 7.8241 Å; angles 90.00, 90.00, 120.00 degrees
Closest atoms and distances in Å follow each position.
Fractional coordinates of all 3 atoms:
1 In 0.6667 0.3333 0.3793  6 In 3.01, 3 Re 3.04
2 Cl 0.0000 0.0000 0.9222  3 Re 2.46
3 Re 0.3333 0.6667 0.6986  3 Cl 2.46

Results
Fermi-level density of states ... 1.06 states/eV/atom
Total magnetic moment ... 0.0 μB per formula unit

y) DFT (PBE-GGA) results for a relaxed InReCl crystal.

Cell lengths 8.4418, 8.1358, 3.0482 Å; angles 85.12, 73.79, 21.09 degrees
Closest atoms and distances in Å follow each position.
Fractional coordinates of all 3 atoms:
1 Re 0.6532 0.6532 0.3468  2 Cl 2.38
2 In 0.3114 0.3114 0.6886  6 In 2.90-3.05, 2 Re 2.92
3 Cl 0.0354 0.0354 0.9646  2 Re 2.38

Results
Fermi-level density of states ... 0.84 states/eV/atom
Total magnetic moment ... 0.0 μB per formula unit

z) DFT (PBE-GGA) results for a relaxed InReCl crystal.

Cell lengths 4.6135, 4.6135, 4.6135 Å; angles 60.00, 60.00, 60.00 degrees
Closest atoms and distances in Å follow each position.
Fractional coordinates of all 3 atoms:
1 In 0.5000 0.5000 0.5000  4 Re 2.83
2 Re 0.7500 0.7500 0.7500  4 In 2.83, 4 Cl 2.83
3 Cl 0.0000 0.0000 0.0000  4 Re 2.83

Results
Fermi-level density of states ... 1.07 states/eV/atom
Total magnetic moment ... 2.7 μB per formula unit

Least stable = z)

w) DFT (PBE-GGA) results for a relaxed InReCl crystal.

Cell lengths 7.6128, 7.6128, 7.6128 Å; angles 157.70, 157.70, 31.74 degrees
Closest atoms and distances in Å follow each position.
Fractional coordinates of all 3 atoms:
1 Re 0.6509 0.6509 0.0000  4 Cl 2.58
2 Cl 0.0468 0.0468 0.0000  4 Re 2.58
3 In 0.3023 0.3023 0.0000  4 In 2.94, 4 Re 3.04

Results
Fermi-level density of states ... 0.71 states/eV/atom
Total magnetic moment ... 0.9 μB per formula unit

x) DFT (PBE-GGA) results for a relaxed InReCl crystal.

Cell lengths 4.5995, 4.5995, 2.9337 Å; angles 90.00, 90.00, 120.00 degrees
Closest atoms and distances in Å follow each position.
Fractional coordinates of all 3 atoms:
1 In 0.6667 0.3333 0.3333  2 In 2.93, 6 Re 3.03, 6 Cl 3.03
2 Cl 0.0000 0.0000 0.8333  3 Re 2.66, 2 Cl 2.93
3 Re 0.3333 0.6667 0.8335  3 Cl 2.66, 2 Re 2.93

Results
Fermi-level density of states ... 1.03 states/eV/atom
Total magnetic moment ... 0.0 μB per formula unit

Least stable = x)

w) DFT (PBE-GGA) results for a relaxed InRe2Cl crystal.

Cell lengths 3.1117, 3.1117, 6.6782 Å; angles 90.00, 90.00, 90.00 degrees
Closest atoms and distances in Å follow each position.
Fractional coordinates of all 4 atoms:
1 In 0.5000 0.5000 0.7500  8 Re 2.89, 4 In 3.11
2 Cl 0.5000 0.5000 0.2500  8 Re 2.64
3 Re 0.0000 0.0000 0.0305  4 Cl 2.64, 4 In 2.89, 1 Re 2.93
4 Re 0.0000 0.0000 0.4695  4 Cl 2.64, 4 In 2.89, 1 Re 2.93

Results
Fermi-level density of states ... 1.03 states/eV/atom
Total magnetic moment ... 0.0 μB per formula unit

x) DFT (PBE-GGA) results for a relaxed InRe2Cl crystal.

Cell lengths 2.9568, 2.9568, 9.2839 Å; angles 90.00, 90.00, 122.90 degrees
Closest atoms and distances in Å follow each position.
Fractional coordinates of all 4 atoms:
1 Re 0.0000 0.0000 0.0115  2 Cl 2.63, 2 In 2.81, 2 Re 2.83
2 Cl 0.5000 0.5000 0.2500  4 Re 2.63, 2 Cl 2.83
3 In 0.5000 0.5000 0.7500  4 Re 2.81, 6 In 2.83-2.96
4 Re 0.0000 0.0000 0.4885  2 Cl 2.63, 2 In 2.81, 2 Re 2.83

Results
Fermi-level density of states ... 1.13 states/eV/atom
Total magnetic moment ... 0.0 μB per formula unit

y) DFT (PBE-GGA) results for a relaxed InRe2Cl crystal.

Cell lengths 10.2192, 10.2192, 10.2192 Å; angles 16.55, 16.55, 16.55 degrees
Closest atoms and distances in Å follow each position.
Fractional coordinates of all 4 atoms:
1 In 0.7359 0.7359 0.7359  6 In 2.94, 3 Re 3.00
2 Re 0.9875 0.9875 0.9875  9 Re 2.65-2.94
3 Re 0.2534 0.2534 0.2534  3 Cl 2.57, 3 Re 2.65
4 Cl 0.5231 0.5231 0.5231  3 Re 2.57

Results
Fermi-level density of states ... 1.10 states/eV/atom
Total magnetic moment ... 0.0 μB per formula unit

Least stable = w)

w) DFT (PBE-GGA) results for a relaxed InRe2Cl crystal.

Cell lengths 6.2905, 6.2905, 6.2905 Å; angles 149.09, 134.18, 56.30 degrees
Closest atoms and distances in Å follow each position.
Fractional coordinates of all 4 atoms:
1 In 0.2753 0.7753 0.5000  6 Re 2.85-2.97
2 Re 0.7606 0.2606 0.5000  2 Re 2.34
3 Re 0.9072 0.9072 0.0000  2 Re 2.34
4 Cl 0.5568 0.5568 0.0000  2 Re 2.81

Results
Fermi-level density of states ... 0.81 states/eV/atom
Total magnetic moment ... 0.0 μB per formula unit

x) DFT (PBE-GGA) results for a relaxed InRe2Cl crystal.

Cell lengths 5.5817, 5.5817, 5.5817 Å; angles 150.80, 126.54, 62.08 degrees
Closest atoms and distances in Å follow each position.
Fractional coordinates of all 4 atoms:
1 In 0.2500 0.7500 0.5000  2 In 2.81, 4 Cl 2.88, 4 Re 2.90
2 Cl 0.7500 0.2500 0.5000  4 Re 2.66, 2 Cl 2.81, 4 In 2.88
3 Re 0.5145 0.5145 0.0000  2 Cl 2.66, 6 Re 2.81-2.89, 2 In 2.90
4 Re 0.9855 0.9855 0.0000  2 Cl 2.66, 6 Re 2.81-2.89, 2 In 2.90

Results
Fermi-level density of states ... 0.93 states/eV/atom
Total magnetic moment ... 0.0 μB per formula unit

Least stable = x)